## YZrMo2 (meta-GGA SCAN)

Data for a crystal of YZrMo2 relaxed with PBEsol.

Cell lengths 4.726, 4.726, 4.726 Å; angles 60.00, 60.00, 60.00 degrees
Element x y z (fractional)
Mo 0.000 0.000 0.000
Mo 0.250 0.250 0.250
Y 0.500 0.500 0.500
Zr 0.750 0.750 0.750

Results
**ΔH_f (0 K)**: 369 meV/atom
**Magnetization**: 0.00 μB/cell
**Uncorrected energy**: -126.8 eV/cell